[1]
The following is a PBE calculation of a geometry-optimized Tm3Ga4Cu4 structure, from Alexandria.

Calculated values
Density of states at the Fermi level (states/eV/atom): 0.4942
Distance to the lowest polymorph of the same formula (eV per formula unit): 0.099
Space group: C2/m, No. 12
Total magnetization (Bohr magnetons per cell): 0.00
Total DFT energy (no corrections) (eV per atom): -4.249
Formation energy from the elements (eV/atom): -0.440

a b c (Å): 13.446 13.446 4.148
angles (deg): 98.82 98.82 15.54
Element x y z (fractional)
Tm 0.000 0.000 0.000
Tm 0.146 0.146 0.646
Tm 0.854 0.854 0.354
Ga 0.255 0.255 0.255
Ga 0.404 0.404 0.905
Ga 0.596 0.596 0.095
Ga 0.745 0.745 0.745
Cu 0.312 0.312 0.812
Cu 0.454 0.454 0.453
Cu 0.546 0.546 0.547
Cu 0.688 0.688 0.188


[2]
The following is a PBE calculation of a geometry-optimized TmGaCu structure, from Alexandria.

Calculated values
Density of states at the Fermi level (states/eV/atom): 0.4030
Space group: Imm2, No. 44
Total magnetization (Bohr magnetons per cell): 0.00
Total DFT energy (no corrections) (eV per atom): -4.402
Formation energy from the elements (eV/atom): -0.537

a b c (Å): 11.206 11.206 11.206
angles (deg): 157.71 45.11 141.30
Element x y z (fractional)
Tm 0.000 0.000 0.000
Tm 0.099 0.933 0.165
Tm 0.331 0.999 0.332
Tm 0.433 0.933 0.500
Tm 0.667 0.999 0.668
Tm 0.768 0.933 0.835
Ga 0.206 0.302 0.904
Ga 0.365 0.630 0.735
Ga 0.398 0.302 0.096
Ga 0.734 0.302 0.432
Ga 0.870 0.302 0.568
Ga 0.894 0.630 0.265
Cu 0.034 0.634 0.400
Cu 0.063 0.299 0.765
Cu 0.234 0.634 0.600
Cu 0.534 0.299 0.235
Cu 0.560 0.633 0.927
Cu 0.705 0.633 0.073


[3]
The following is a PBE calculation of a geometry-optimized TmGaCu2 structure, from Alexandria.

Calculated values
Density of states at the Fermi level (states/eV/atom): 0.2312
Space group: Fm-3m, No. 225
Total magnetization (Bohr magnetons per cell): 0.00
Total DFT energy (no corrections) (eV per atom): -4.280
Formation energy from the elements (eV/atom): -0.357

a b c (Å): 4.510 4.510 4.510
angles (deg): 60.00 60.00 60.00
Element x y z (fractional)
Tm 0.000 0.000 0.000
Ga 0.500 0.500 0.500
Cu 0.250 0.250 0.250
Cu 0.750 0.750 0.750